LaMnCr2 | PBE | relaxed

```
LaMnCr2
1.0
-1.1468 2.6611 -1.2407
-2.3024 0.0117 2.1533
4.0312 3.7373 4.2900
Cr Mn La
2 1 1
Direct
0.0000 0.0000 0.8991
0.0000 0.0000 0.6009
0.5000 0.5000 0.7500
0.5000 0.5000 0.2500
```

Results
M_tot, μB/f.u.: 1.10
Formation enthalpy at 0 K, eV/atom: 0.50
Excess energy over the best structure of this formula in the dataset, eV per atom: 0.162
Crystal system: tetragonal